Cs6Zn2O5 | PBE-GGA | optimized geometry

V: 332.0 Å³/cell
VASP energy: -3.691 eV/atom
theoretical density: 5.04 g cm⁻³
space-group type: No. 8

Lattice parameters (Å, degrees): 7.191 7.191 7.292 92.95 92.95 117.77
Element x y z (fractional)
1 Cs 0.409 0.886 0.686
2 Cs 0.886 0.409 0.686
3 Cs 0.299 0.299 0.994
4 Cs 0.011 0.011 0.366
5 Cs 0.436 0.860 0.182
6 Cs 0.860 0.436 0.182
7 O 0.818 0.086 0.957
8 O 0.216 0.482 0.407
9 O 0.086 0.818 0.957
10 O 0.607 0.607 0.735
11 O 0.482 0.216 0.407
12 Zn 0.445 0.445 0.508
13 Zn 0.843 0.843 0.877

CsZn2O4 | PBE-GGA | optimized geometry

V: 202.4 Å³/cell
VASP energy: -3.865 eV/atom
theoretical density: 5.38 g cm⁻³
space-group type: No. 227

Lattice parameters (Å, degrees): 6.591 6.591 6.591 120.01 89.99 120.01
Element x y z (fractional)
1 Cs 0.750 0.500 0.250
2 Cs 0.000 0.000 0.000
3 O 0.152 0.305 0.457
4 O 0.543 0.695 0.848
5 O 0.152 0.695 0.847
6 O 0.153 0.305 0.848
7 O 0.598 0.805 0.403
8 O 0.598 0.195 0.793
9 O 0.207 0.805 0.402
10 O 0.597 0.195 0.402
11 Zn 0.375 0.750 0.125
12 Zn 0.375 0.250 0.625
13 Zn 0.375 0.750 0.625
14 Zn 0.875 0.250 0.625

CsOs | PBE-GGA | optimized geometry

V: 95.1 Å³/cell
VASP energy: -3.090 eV/atom
theoretical density: 5.64 g cm⁻³
space-group type: No. 225

Lattice parameters (Å, degrees): 5.124 5.124 5.124 60.00 60.00 60.00
Site moments in Bohr magnetons follow the coordinates.
Element x y z (fractional)
1 Cs 0.000 0.000 0.000  0.02
2 Os 0.500 0.500 0.500  2.66

CsOs2 | PBE-GGA | optimized geometry

V: 249.6 Å³/cell
VASP energy: -6.048 eV/atom
theoretical density: 13.66 g cm⁻³
space-group type: No. 194
polymorph energy (0 for the lowest one): 0 meV per atom

Lattice parameters (Å, degrees): 5.858 5.858 8.396 90.00 90.00 120.00
Site moments in Bohr magnetons follow the coordinates.
Element x y z (fractional)
1 Os 0.000 0.000 0.500  -0.07
2 Os 0.163 0.327 0.250  0.50
3 Os 0.837 0.163 0.750  0.58
4 Os 0.163 0.837 0.250  0.58
5 Os 0.837 0.673 0.750  0.50
6 Os 0.327 0.163 0.750  0.37
7 Os 0.673 0.837 0.250  0.37
8 Os 0.000 0.000 0.000  -0.08
9 Cs 0.667 0.333 0.445  0.01
10 Cs 0.333 0.667 0.555  0.01
11 Cs 0.667 0.333 0.055  0.01
12 Cs 0.333 0.667 0.945  0.01

CsOs8 | PBE-GGA | optimized geometry

V: 308.5 Å³/cell
VASP energy: -7.617 eV/atom
theoretical density: 8.91 g cm⁻³
space-group type: No. 191

Lattice parameters (Å, degrees): 8.143 8.143 5.371 90.00 90.00 120.00
Site moments in Bohr magnetons follow the coordinates.
Element x y z (fractional)
1 Os 0.335 0.167 0.000  0.02
2 Os 0.167 0.833 0.000  -0.01
3 Os 0.333 0.667 0.000  0.37
4 Os 0.665 0.833 0.000  0.02
5 Os 0.167 0.335 0.000  -0.01
6 Os 0.833 0.665 0.000  -0.01
7 Os 0.667 0.333 0.000  0.37
8 Os 0.833 0.167 0.000  -0.01
9 Cs 0.000 0.000 0.500  0.01

CsOs2 | PBE-GGA | optimized geometry

V: 396.8 Å³/cell
VASP energy: -2.478 eV/atom
theoretical density: 4.30 g cm⁻³
space-group type: No. 227
polymorph energy (0 for the lowest one): 3570 meV per atom

Lattice parameters (Å, degrees): 8.248 8.248 8.248 60.00 60.00 60.00
Site moments in Bohr magnetons follow the coordinates.
Element x y z (fractional)
1 Cs 0.000 0.000 0.000  -0.07
2 Cs 0.250 0.250 0.250  -0.07
3 Os 0.125 0.125 0.625  1.53
4 Os 0.125 0.125 0.125  1.51
5 Os 0.625 0.125 0.125  1.44
6 Os 0.125 0.625 0.125  1.51

CsOs2 | PBE-GGA | optimized geometry

V: 63.2 Å³/cell
VASP energy: -4.225 eV/atom
theoretical density: 13.48 g cm⁻³
space-group type: No. 225
polymorph energy (0 for the lowest one): 1823 meV per atom

Lattice parameters (Å, degrees): 4.472 4.472 4.472 60.00 60.00 60.00
Element x y z (fractional)
1 Os 0.250 0.250 0.250
2 Os 0.750 0.750 0.750
3 Cs 0.000 0.000 0.000

CsOs2 | PBE-GGA | optimized geometry

V: 127.5 Å³/cell
VASP energy: -5.916 eV/atom
theoretical density: 13.37 g cm⁻³
space-group type: No. 227
polymorph energy (0 for the lowest one): 131 meV per atom

Lattice parameters (Å, degrees): 5.650 5.650 5.650 60.00 60.00 60.00
Site moments in Bohr magnetons follow the coordinates.
Element x y z (fractional)
1 Os 0.625 0.625 0.625  0.96
2 Os 0.625 0.125 0.625  1.09
3 Os 0.625 0.625 0.125  0.96
4 Os 0.125 0.625 0.625  0.89
5 Cs 0.250 0.250 0.250  0.05
6 Cs 0.000 0.000 0.000  0.05

CsOs3Pb5 | PBE-GGA | optimized geometry

V: 252.2 Å³/cell
VASP energy: -5.447 eV/atom
theoretical density: 11.45 g cm⁻³
space-group type: No. 191

Lattice parameters (Å, degrees): 5.672 5.672 9.053 90.00 90.00 120.00
Site moments in Bohr magnetons follow the coordinates.
Element x y z (fractional)
1 Pb 0.667 0.333 0.762  -0.02
2 Pb 0.000 0.000 0.500  0.00
3 Pb 0.667 0.333 0.238  -0.02
4 Pb 0.333 0.667 0.762  -0.02
5 Pb 0.333 0.667 0.238  -0.02
6 Cs 0.000 0.000 0.000  0.00
7 Os 0.500 0.000 0.500  0.86
8 Os 0.500 0.500 0.500  0.84
9 Os 0.000 0.500 0.500  0.71

CsPrOs | PBE-GGA | optimized geometry

V: 93.0 Å³/cell
VASP energy: -4.578 eV/atom
theoretical density: 8.29 g cm⁻³
space-group type: No. 216
polymorph energy (0 for the lowest one): 0 meV per atom

Lattice parameters (Å, degrees): 5.085 5.085 5.085 60.00 60.00 60.00
Element x y z (fractional)
1 Os 0.000 0.000 0.000
2 Cs 0.250 0.250 0.250
3 Pr 0.750 0.750 0.750

CsOs3S5 | PBE-GGA | optimized geometry

V: 203.4 Å³/cell
VASP energy: -6.267 eV/atom
theoretical density: 7.05 g cm⁻³
space-group type: No. 191

Lattice parameters (Å, degrees): 5.717 5.717 7.184 90.00 90.00 120.00
Element x y z (fractional)
1 Os 0.000 0.500 0.500
2 Os 0.500 0.000 0.500
3 Os 0.500 0.500 0.500
4 Cs 0.000 0.000 0.000
5 S 0.333 0.667 0.269
6 S 0.667 0.333 0.731
7 S 0.667 0.333 0.269
8 S 0.333 0.667 0.731
9 S 0.000 0.000 0.500

CsOsSeS2 | PBE-GGA | optimized geometry

V: 318.2 Å³/cell
VASP energy: -5.271 eV/atom
theoretical density: 4.87 g cm⁻³
space-group type: No. 2

Lattice parameters (Å, degrees): 6.597 7.553 7.772 104.39 109.77 108.08
Element x y z (fractional)
1 Os 0.232 0.422 0.524
2 Os 0.768 0.578 0.476
3 S 0.816 0.313 0.318
4 S 0.339 0.422 0.278
5 S 0.184 0.687 0.682
6 S 0.661 0.578 0.722
7 Se 0.200 0.150 0.621
8 Se 0.800 0.850 0.379
9 Cs 0.772 0.142 0.833
10 Cs 0.228 0.858 0.167

Cs2Te2OsS | PBE-GGA | optimized geometry

V: 515.4 Å³/cell
VASP energy: -4.367 eV/atom
theoretical density: 4.79 g cm⁻³
space-group type: No. 12

Lattice parameters (Å, degrees): 8.384 8.384 10.725 118.82 118.82 54.43
Site moments in Bohr magnetons follow the coordinates.
Element x y z (fractional)
1 S 0.269 0.731 0.000  0.08
2 S 0.731 0.269 0.000  0.08
3 Cs 0.918 0.918 0.652  0.01
4 Cs 0.082 0.082 0.348  0.01
5 Cs 0.697 0.697 0.816  0.01
6 Cs 0.303 0.303 0.184  0.01
7 Te 0.613 0.613 0.396  0.12
8 Te 0.210 0.210 0.768  0.10
9 Te 0.790 0.790 0.232  0.10
10 Te 0.387 0.387 0.604  0.12
11 Os 0.591 0.591 0.142  0.93
12 Os 0.409 0.409 0.858  0.93

CsSb5Os3 | PBE-GGA | optimized geometry

V: 253.3 Å³/cell
VASP energy: -5.904 eV/atom
theoretical density: 8.60 g cm⁻³
space-group type: No. 191

Lattice parameters (Å, degrees): 5.744 5.744 8.865 90.00 90.00 120.00
Site moments in Bohr magnetons follow the coordinates.
Element x y z (fractional)
1 Sb 0.000 0.000 0.500  0.01
2 Sb 0.333 0.667 0.741  0.00
3 Sb 0.667 0.333 0.259  0.00
4 Sb 0.333 0.667 0.259  0.00
5 Sb 0.667 0.333 0.741  0.00
6 Os 0.500 0.500 0.500  0.04
7 Os 0.000 0.500 0.500  0.06
8 Os 0.500 0.000 0.500  0.04
9 Cs 0.000 0.000 0.000  0.00

CsSbOs | PBE-GGA | optimized geometry

V: 84.3 Å³/cell
VASP energy: -4.107 eV/atom
theoretical density: 8.76 g cm⁻³
space-group type: No. 216
polymorph energy (0 for the lowest one): 0 meV per atom

Lattice parameters (Å, degrees): 4.923 4.923 4.923 60.00 60.00 60.00
Element x y z (fractional)
1 Os 0.000 0.000 0.000
2 Cs 0.250 0.250 0.250
3 Sb 0.750 0.750 0.750

Cs2Te2OsSe | PBE-GGA | optimized geometry

V: 520.0 Å³/cell
VASP energy: -4.222 eV/atom
theoretical density: 5.05 g cm⁻³
space-group type: No. 12

Lattice parameters (Å, degrees): 8.351 8.351 10.750 118.18 118.18 55.03
Site moments in Bohr magnetons follow the coordinates.
Element x y z (fractional)
1 Os 0.407 0.407 0.854  1.00
2 Os 0.593 0.593 0.146  1.00
3 Te 0.389 0.389 0.604  0.12
4 Te 0.611 0.611 0.396  0.12
5 Te 0.209 0.209 0.769  0.11
6 Te 0.791 0.791 0.231  0.11
7 Cs 0.697 0.697 0.819  0.01
8 Cs 0.914 0.914 0.645  0.01
9 Cs 0.303 0.303 0.181  0.01
10 Cs 0.086 0.086 0.355  0.01
11 Se 0.747 0.253 0.000  0.08
12 Se 0.253 0.747 0.000  0.08

CsSiOs | PBE-GGA | optimized geometry

V: 87.5 Å³/cell
VASP energy: -2.946 eV/atom
theoretical density: 6.66 g cm⁻³
space-group type: No. 216
polymorph energy (0 for the lowest one): 1301 meV per atom

Lattice parameters (Å, degrees): 4.983 4.983 4.983 60.00 60.00 60.00
Element x y z (fractional)
1 Si 0.750 0.750 0.750
2 Os 0.250 0.250 0.250
3 Cs 0.000 0.000 0.000

CsSiOs | PBE-GGA | optimized geometry

V: 71.8 Å³/cell
VASP energy: -4.247 eV/atom
theoretical density: 8.13 g cm⁻³
space-group type: No. 216
polymorph energy (0 for the lowest one): 0 meV per atom

Lattice parameters (Å, degrees): 4.664 4.664 4.664 60.00 60.00 60.00
Element x y z (fractional)
1 Si 0.750 0.750 0.750
2 Cs 0.250 0.250 0.250
3 Os 0.000 0.000 0.000

CsSmOs | PBE-GGA | optimized geometry

V: 83.9 Å³/cell
VASP energy: -3.695 eV/atom
theoretical density: 9.38 g cm⁻³
space-group type: No. 216
polymorph energy (0 for the lowest one): 850 meV per atom

Lattice parameters (Å, degrees): 4.913 4.913 4.913 60.00 60.00 60.00
Element x y z (fractional)
1 Sm 0.250 0.250 0.250
2 Os 0.750 0.750 0.750
3 Cs 0.000 0.000 0.000

CsSmOs | PBE-GGA | optimized geometry

V: 90.2 Å³/cell
VASP energy: -4.545 eV/atom
theoretical density: 8.71 g cm⁻³
space-group type: No. 216
polymorph energy (0 for the lowest one): 0 meV per atom

Lattice parameters (Å, degrees): 5.034 5.034 5.034 60.00 60.00 60.00
Element x y z (fractional)
1 Cs 0.250 0.250 0.250
2 Sm 0.750 0.750 0.750
3 Os 0.000 0.000 0.000

CsSnOs | PBE-GGA | optimized geometry

V: 105.4 Å³/cell
VASP energy: -2.914 eV/atom
theoretical density: 6.96 g cm⁻³
space-group type: No. 216
polymorph energy (0 for the lowest one): 1128 meV per atom

Lattice parameters (Å, degrees): 5.302 5.302 5.302 60.00 60.00 60.00
Element x y z (fractional)
1 Os 0.250 0.250 0.250
2 Cs 0.000 0.000 0.000
3 Sn 0.750 0.750 0.750

CsSnOs | PBE-GGA | optimized geometry

V: 84.5 Å³/cell
VASP energy: -4.042 eV/atom
theoretical density: 8.69 g cm⁻³
space-group type: No. 216
polymorph energy (0 for the lowest one): 0 meV per atom

Lattice parameters (Å, degrees): 4.925 4.925 4.925 60.00 60.00 60.00
Element x y z (fractional)
1 Os 0.000 0.000 0.000
2 Cs 0.250 0.250 0.250
3 Sn 0.750 0.750 0.750

CsSn5Os3 | PBE-GGA | optimized geometry

V: 247.8 Å³/cell
VASP energy: -5.881 eV/atom
theoretical density: 8.69 g cm⁻³
space-group type: No. 191

Lattice parameters (Å, degrees): 5.575 5.575 9.207 90.00 90.00 120.00
Site moments in Bohr magnetons follow the coordinates.
Element x y z (fractional)
1 Sn 0.667 0.333 0.254  -0.02
2 Sn 0.000 0.000 0.500  0.00
3 Sn 0.333 0.667 0.746  -0.02
4 Sn 0.667 0.333 0.746  -0.02
5 Sn 0.333 0.667 0.254  -0.02
6 Os 0.500 0.500 0.500  0.65
7 Os 0.000 0.500 0.500  0.41
8 Os 0.500 0.000 0.500  0.64
9 Cs 0.000 0.000 0.000  0.00

CsSrOs | PBE-GGA | optimized geometry

V: 99.4 Å³/cell
VASP energy: -2.745 eV/atom
theoretical density: 6.86 g cm⁻³
space-group type: No. 216
polymorph energy (0 for the lowest one): 475 meV per atom

Lattice parameters (Å, degrees): 5.200 5.200 5.200 60.00 60.00 60.00
Element x y z (fractional)
1 Cs 0.000 0.000 0.000
2 Sr 0.750 0.750 0.750
3 Os 0.250 0.250 0.250

CsSrOs | PBE-GGA | optimized geometry

V: 107.5 Å³/cell
VASP energy: -3.220 eV/atom
theoretical density: 6.34 g cm⁻³
space-group type: No. 216
polymorph energy (0 for the lowest one): 0 meV per atom

Lattice parameters (Å, degrees): 5.337 5.337 5.337 60.00 60.00 60.00
Element x y z (fractional)
1 Cs 0.250 0.250 0.250
2 Sr 0.750 0.750 0.750
3 Os 0.000 0.000 0.000

CsTaOs | PBE-GGA | optimized geometry

V: 67.1 Å³/cell
VASP energy: -4.856 eV/atom
theoretical density: 12.47 g cm⁻³
space-group type: No. 216
polymorph energy (0 for the lowest one): 1172 meV per atom

Lattice parameters (Å, degrees): 4.561 4.561 4.561 60.00 60.00 60.00
Element x y z (fractional)
1 Ta 0.750 0.750 0.750
2 Cs 0.000 0.000 0.000
3 Os 0.250 0.250 0.250

CsTaOs | PBE-GGA | optimized geometry

V: 74.4 Å³/cell
VASP energy: -6.029 eV/atom
theoretical density: 11.24 g cm⁻³
space-group type: No. 216
polymorph energy (0 for the lowest one): 0 meV per atom

Lattice parameters (Å, degrees): 4.722 4.722 4.722 60.00 60.00 60.00
Element x y z (fractional)
1 Cs 0.250 0.250 0.250
2 Os 0.000 0.000 0.000
3 Ta 0.750 0.750 0.750